Material: Rh2WCF
Method: DFT, GGA+U
State: optimized geometry

Lattice parameters (Å, degrees): 4.117 4.117 4.019 90.00 90.00 90.00
Sites, in units of the cell vectors:
Rh (0.000, 0.500, 0.000)
Rh (0.500, 0.000, 0.000)
W (0.000, 0.000, 0.500)
C (0.500, 0.500, 0.500)
F (0.500, 0.500, 0.000)

Calculated values
E	-24.212	eV per cell
magnetization	0.00	μB/atom